TlInHg2: optimized geometry, PBEsol.

Unit cell a=3.349 b=3.349 c=10.499 alpha=80.82 beta=80.82 gamma=60.00
Positions (direct):
Hg 0.748 0.748 0.755
Hg 0.004 0.004 0.987
Tl 0.252 0.252 0.243
In 0.495 0.495 0.515

Summary:
- M_tot (Bohr magnetons per cell) = 0.0
- DFT total energy (eV/cell) = -6.7



TlInHg: optimized geometry, PBEsol.

Unit cell a=3.230 b=5.249 c=5.249 alpha=120.00 beta=90.00 gamma=90.00
Positions (direct):
Tl 0.333 0.667 0.333
In 0.835 0.333 0.667
Hg 0.832 0.000 0.000

Summary:
- M_tot (Bohr magnetons per cell) = 0.0
- DFT total energy (eV/cell) = -6.2



Tl2InHg: optimized geometry, PBEsol.

Unit cell a=3.399 b=3.399 c=10.628 alpha=80.80 beta=80.80 gamma=60.00
Positions (direct):
Hg 0.502 0.502 0.493
Tl 0.754 0.754 0.738
In 0.246 0.246 0.262
Tl 0.998 0.998 0.006

Summary:
- M_tot (Bohr magnetons per cell) = 0.0
- DFT total energy (eV/cell) = -8.8



TlInHg2: optimized geometry, PBEsol.

Unit cell a=3.371 b=4.540 c=6.522 alpha=90.00 beta=90.00 gamma=90.00
Positions (direct):
In 0.000 0.000 0.480
Hg 0.500 0.500 0.254
Hg 0.000 0.000 0.005
Tl 0.500 0.500 0.761

Summary:
- M_tot (Bohr magnetons per cell) = 0.0
- DFT total energy (eV/cell) = -6.7



Tl2InHg: optimized geometry, PBEsol.

Unit cell a=3.718 b=3.718 c=7.622 alpha=90.00 beta=90.00 gamma=90.00
Positions (direct):
In 0.500 0.500 0.500
Tl 0.000 0.000 0.757
Tl 0.000 0.000 0.243
Hg 0.500 0.500 0.000

Summary:
- M_tot (Bohr magnetons per cell) = 0.0
- DFT total energy (eV/cell) = -8.8



TlIn2Hg2: optimized geometry, PBEsol.

Unit cell a=4.413 b=4.413 c=7.444 alpha=107.24 beta=107.24 gamma=90.00
Positions (direct):
In 0.250 0.750 0.500
Hg 0.603 0.603 0.205
Hg 0.397 0.397 0.795
In 0.750 0.250 0.500
Tl 0.000 0.000 0.000

Summary:
- M_tot (Bohr magnetons per cell) = 0.0
- DFT total energy (eV/cell) = -9.7



Tl2InHg: optimized geometry, PBEsol.

Unit cell a=3.221 b=3.221 c=10.916 alpha=90.00 beta=90.00 gamma=110.85
Positions (direct):
Tl 0.000 0.000 0.745
Tl 0.000 0.000 0.255
Hg 0.500 0.500 0.500
In 0.500 0.500 0.000

Summary:
- M_tot (Bohr magnetons per cell) = 0.0
- DFT total energy (eV/cell) = -8.7



TlInHg2: optimized geometry, PBEsol.

Unit cell a=5.000 b=5.350 c=5.000 alpha=62.14 beta=90.00 gamma=117.86
Positions (direct):
In 0.500 0.000 0.500
Hg 0.250 0.500 0.250
Hg 0.750 0.500 0.750
Tl 0.000 0.000 0.000

Summary:
- M_tot (Bohr magnetons per cell) = 0.0
- DFT total energy (eV/cell) = -6.8



TlIn4Hg: optimized geometry, PBEsol.

Unit cell a=6.106 b=6.106 c=6.106 alpha=60.00 beta=60.00 gamma=60.00
Positions (direct):
Hg 0.000 0.000 0.000
Tl 0.750 0.750 0.750
In 0.375 0.375 0.375
In 0.375 0.875 0.375
In 0.375 0.375 0.875
In 0.875 0.375 0.375

Summary:
- M_tot (Bohr magnetons per cell) = 0.0
- DFT total energy (eV/cell) = -14.7



Tl2InHg: optimized geometry, PBEsol.

Unit cell a=3.853 b=5.189 c=6.168 alpha=114.87 beta=108.20 gamma=90.00
Positions (direct):
Tl 0.757 0.757 0.514
In 0.000 0.500 0.000
Tl 0.243 0.243 0.486
Hg 0.500 0.000 0.000

Summary:
- M_tot (Bohr magnetons per cell) = 0.0
- DFT total energy (eV/cell) = -8.8



Tl2InHg: optimized geometry, PBEsol.

Unit cell a=6.291 b=6.714 c=6.714 alpha=77.32 beta=62.06 gamma=62.06
Positions (direct):
In 0.500 0.000 0.000
In 0.250 0.500 0.500
Hg 0.000 0.000 0.000
Tl 0.118 0.007 0.507
Tl 0.632 0.993 0.493
Tl 0.375 0.507 0.993
Hg 0.750 0.500 0.500
Tl 0.875 0.493 0.007

Summary:
- M_tot (Bohr magnetons per cell) = 0.0
- DFT total energy (eV/cell) = -17.1



TlInHg: optimized geometry, PBEsol.

Unit cell a=3.528 b=3.528 c=6.637 alpha=105.42 beta=105.42 gamma=90.00
Positions (direct):
Hg 0.006 0.006 0.012
Tl 0.337 0.337 0.675
In 0.656 0.656 0.313

Summary:
- M_tot (Bohr magnetons per cell) = 0.0
- DFT total energy (eV/cell) = -6.2



| no. | volume (A^3/atom) | mass density (g cm⁻³) | formation energy (kJ per mole of atoms) |
| --- | --- | --- | --- |
| 1 | 25.06 | 11.93 | 0.1 |
| 2 | 25.69 | 11.20 | -1.4 |
| 3 | 26.13 | 11.51 | 0.7 |
| 4 | 24.96 | 11.98 | 0.1 |
| 5 | 26.34 | 11.42 | 1.3 |
| 6 | 26.32 | 10.54 | 1.4 |
| 7 | 26.46 | 11.36 | 2.2 |
| 8 | 25.10 | 11.92 | -1.2 |
| 9 | 26.82 | 8.92 | 7.6 |
| 10 | 26.26 | 11.45 | 1.2 |
| 11 | 27.67 | 10.87 | 5.7 |
| 12 | 25.52 | 11.27 | -0.3 |